Material: Rb2ZrI4Cl2
Method: DFT, PBE
State: relaxed

```
Rb2ZrI4Cl2
1.0
6.857 -0.083 -0.057
1.409 7.714 0.236
1.409 3.052 7.088
I Rb Zr Cl
4 2 1 2
direct
0.300 0.656 0.154
0.700 0.846 0.344
0.300 0.154 0.656
0.700 0.344 0.846
0.220 0.667 0.667
0.780 0.333 0.333
0.500 0.000 0.000
0.223 0.150 0.150
0.777 0.850 0.850
```

Values from the calculation:
Magnetic moment (Bohr magnetons per cell): 0.0
Crystal system: monoclinic
Energy (eV per atom): -3.689
Energy relative to the elements, uncorrected (eV per atom): -1.425
Symmetry: No. 12